Entry 1:
PBE-GGA Ag2HgSb, optimized geometry; energy relative to the elements, uncorrected = 0.14 eV per atom; calculated total energy = -9.6 eV per cell; total magnetic moment = 0.000 μB per formula unit
1.0
-4.5034 3.5035 -7.4434
-1.6474 2.5271 -8.8803
-4.1227 0.3285 -8.4176
Sb Hg Ag
1 1 2
direct
0.7500 0.7500 0.7500
0.2500 0.2500 0.2500
0.0001 0.0001 0.0001
0.4999 0.4999 0.4999

Entry 2:
PBE-GGA Ag2HgSb, optimized geometry; energy relative to the elements, uncorrected = 0.13 eV per atom; calculated total energy = -9.6 eV per cell; total magnetic moment = 0.000 μB per formula unit
1.0
-0.0089 -5.0125 -1.8349
1.0108 -3.1955 4.1544
-3.6082 3.8927 -0.5655
Sb Hg Ag
1 1 2
direct
0.2500 0.7500 0.5000
0.7500 0.2500 0.5000
0.0002 0.0002 0.0000
0.4998 0.4998 0.0000

Entry 3:
PBE-GGA AgHgSb2, optimized geometry; energy relative to the elements, uncorrected = 0.20 eV per atom; calculated total energy = -10.6 eV per cell; total magnetic moment = 0.000 μB per formula unit
1.0
3.2380 0.0000 0.0000
0.0000 4.2750 0.0000
0.0000 0.0000 7.0551
Sb Hg Ag
2 1 1
direct
0.0000 0.0000 0.9799
0.5000 0.5000 0.2867
0.5000 0.5000 0.7313
0.0000 0.0000 0.5021

Entry 4:
PBE-GGA AgHgSb, optimized geometry; energy relative to the elements, uncorrected = 0.14 eV per atom; calculated total energy = -6.9 eV per cell; total magnetic moment = 0.000 μB per formula unit
1.0
-2.5746 1.8161 1.0742
0.2158 -0.8447 -3.2126
-3.8069 -6.2115 1.3775
Sb Hg Ag
1 1 1
direct
0.6667 0.3333 0.6902
0.3333 0.6667 0.3085
0.0000 0.0000 0.0012

Entry 5:
PBE-GGA AgHg2Sb, optimized geometry; energy relative to the elements, uncorrected = 0.10 eV per atom; calculated total energy = -7.2 eV per cell; total magnetic moment = 0.000 μB per formula unit
1.0
-4.0597 -0.0527 3.3731
0.9194 -2.8511 1.0621
4.3536 -0.1734 5.2371
Sb Hg Ag
1 2 1
direct
0.0000 0.3761 0.6237
0.0000 0.8768 0.1233
0.5000 0.3736 0.1266
0.5000 0.8736 0.6264

Entry 6:
PBE-GGA Ag6HgSb, optimized geometry; energy relative to the elements, uncorrected = 0.05 eV per atom; E above lowest polymorph = 0.0 meV/atom; calculated total energy = -21.2 eV per cell; total magnetic moment = 0.000 μB per formula unit
1.0
-2.0032 -3.1846 3.1292
2.6971 -4.5701 -2.9245
2.8319 2.7409 4.6022
Ag Hg Sb
6 1 1
direct
0.0000 0.0803 0.4152
0.0000 0.5848 0.9197
0.0000 0.5852 0.4148
0.5000 0.4252 0.0877
0.5000 0.9123 0.5748
0.5000 0.9120 0.0880
0.5000 0.4167 0.5833
0.0000 0.0832 0.9168

Entry 7:
PBE-GGA AgHg2Sb, optimized geometry; energy relative to the elements, uncorrected = 0.21 eV per atom; calculated total energy = -6.8 eV per cell; total magnetic moment = 0.000 μB per formula unit
1.0
-3.2013 0.1243 -3.9997
0.1364 -3.7331 -3.5081
-3.8489 -3.3694 -0.3071
Sb Hg Ag
1 2 1
direct
0.2500 0.2500 0.2500
0.0000 0.0000 0.0000
0.7500 0.7500 0.7500
0.5000 0.5000 0.5000

Entry 8:
PBE-GGA AgHgSb2, optimized geometry; energy relative to the elements, uncorrected = 0.21 eV per atom; calculated total energy = -10.5 eV per cell; total magnetic moment = 0.000 μB per formula unit
1.0
3.1982 0.0000 0.0000
0.0000 5.9068 -0.0339
0.0000 3.9570 5.1995
Sb Hg Ag
2 1 1
direct
0.0000 0.0000 0.0000
0.5000 0.5000 0.0000
0.0000 0.0000 0.5000
0.5000 0.5000 0.5000

Entry 9:
PBE-GGA AgHgSb, optimized geometry; energy relative to the elements, uncorrected = 0.15 eV per atom; calculated total energy = -6.8 eV per cell; total magnetic moment = 0.000 μB per formula unit
1.0
7.2964 0.9532 0.0000
5.3799 5.0203 0.0000
-6.3382 -2.9868 2.2480
Sb Hg Ag
1 1 1
direct
0.6524 0.6524 0.0000
0.3482 0.3482 0.0000
0.9994 0.9994 0.0000

Entry 10:
PBE-GGA AgHg2Sb, optimized geometry; energy relative to the elements, uncorrected = 0.17 eV per atom; calculated total energy = -6.9 eV per cell; total magnetic moment = 0.000 μB per formula unit
1.0
5.6105 0.0525 0.0000
1.9408 5.2644 0.0000
-3.7757 -2.6585 3.1871
Sb Hg Ag
1 2 1
direct
0.5000 0.5000 0.0000
0.0000 0.0000 0.0000
0.2500 0.7500 0.5000
0.7500 0.2500 0.5000

Entry 11:
PBE-GGA Ag2HgSb, optimized geometry; energy relative to the elements, uncorrected = 0.14 eV per atom; calculated total energy = -9.6 eV per cell; total magnetic moment = 0.000 μB per formula unit
1.0
3.5621 0.0000 0.0000
0.0000 3.5621 0.0000
0.0000 0.0000 6.8400
Sb Hg Ag
1 1 2
direct
0.5000 0.5000 0.5000
0.5000 0.5000 0.0000
0.0000 0.0000 0.7644
0.0000 0.0000 0.2356

Entry 12:
PBE-GGA AgHg2Sb, optimized geometry; energy relative to the elements, uncorrected = 0.15 eV per atom; calculated total energy = -7.0 eV per cell; total magnetic moment = 0.000 μB per formula unit
1.0
3.1987 0.0000 0.0000
0.0000 3.1987 0.0000
0.0000 0.0000 9.2386
Sb Hg Ag
1 2 1
direct
0.5000 0.5000 0.5000
0.0000 0.0000 0.7795
0.0000 0.0000 0.2205
0.5000 0.5000 0.0000

Entry 13:
PBE-GGA Ag2HgSb, optimized geometry; energy relative to the elements, uncorrected = 0.12 eV per atom; calculated total energy = -9.7 eV per cell; total magnetic moment = 0.000 μB per formula unit
1.0
-1.6561 -1.4749 4.3770
-2.4764 -3.7153 2.0349
4.3927 -3.4471 1.7588
Sb Hg Ag
1 1 2
direct
0.7500 0.7500 0.7500
0.2500 0.2500 0.2500
0.9992 0.9992 0.0106
0.5008 0.5008 0.4894

Entry 14:
PBE-GGA AgHgSb2, optimized geometry; energy relative to the elements, uncorrected = 0.22 eV per atom; calculated total energy = -10.5 eV per cell; total magnetic moment = 0.000 μB per formula unit
1.0
5.5533 0.1075 0.0000
-1.7689 5.2652 0.0000
0.0000 0.0000 3.3425
Sb Hg Ag
2 1 1
direct
0.0000 0.0000 0.0000
0.5000 0.5000 0.0000
0.0000 0.5000 0.5000
0.5000 0.0000 0.5000

Entry 15:
PBE-GGA AgHgSb2, optimized geometry; energy relative to the elements, uncorrected = 0.24 eV per atom; calculated total energy = -10.5 eV per cell; total magnetic moment = 0.000 μB per formula unit
1.0
-1.7970 -2.7007 4.0655
1.3338 -4.9911 0.6010
3.2296 -1.3852 3.8343
Sb Hg Ag
2 1 1
direct
0.0000 0.0000 0.0000
0.2500 0.2500 0.2500
0.7500 0.7500 0.7500
0.5000 0.5000 0.5000

Entry 16:
PBE-GGA Ag2HgSb, optimized geometry; energy relative to the elements, uncorrected = 0.10 eV per atom; calculated total energy = -9.7 eV per cell; total magnetic moment = 0.000 μB per formula unit
1.0
5.8727 -0.0007 -0.0394
5.0304 3.0303 -0.0394
1.0377 0.2883 4.9570
Sb Hg Ag
1 1 2
direct
0.7232 0.7232 0.8083
0.5167 0.5167 0.4470
0.9808 0.9808 0.9639
0.2793 0.2793 0.2807

Entry 17:
PBE-GGA AgHg4Sb, optimized geometry; energy relative to the elements, uncorrected = 0.32 eV per atom; calculated total energy = -6.2 eV per cell; total magnetic moment = 0.000 μB per formula unit
1.0
0.0000 4.2187 4.2187
4.2187 0.0000 4.2187
4.2187 4.2187 0.0000
Ag Hg Sb
1 4 1
direct
0.0000 0.0000 0.0000
0.8757 0.3748 0.3748
0.3748 0.3748 0.8757
0.3748 0.8757 0.3748
0.3748 0.3748 0.3748
0.7500 0.7500 0.7500

Entry 18:
PBE-GGA Ag6HgSb, optimized geometry; energy relative to the elements, uncorrected = 0.05 eV per atom; E above lowest polymorph = 6.4 meV/atom; calculated total energy = -21.1 eV per cell; total magnetic moment = 0.000 μB per formula unit
1.0
-2.9878 0.1742 3.0287
4.2410 -0.7722 4.2281
0.7239 5.9832 0.3700
Ag Hg Sb
6 1 1
direct
0.0000 0.7474 0.2526
0.0000 0.2526 0.7474
0.0000 0.7469 0.7469
0.0000 0.2531 0.2531
0.5000 0.5000 0.0000
0.5000 0.0000 0.5000
0.5000 0.5000 0.5000
0.5000 0.0000 0.0000

Entry 19:
PBE-GGA Ag2HgSb, optimized geometry; energy relative to the elements, uncorrected = 0.14 eV per atom; calculated total energy = -9.6 eV per cell; total magnetic moment = 0.000 μB per formula unit
1.0
3.2424 0.0000 0.0000
1.6212 2.8080 0.0000
1.6212 0.9360 9.6036
Ag Hg Sb
2 1 1
direct
0.0811 0.0811 0.7566
0.2522 0.2522 0.2434
0.6666 0.6666 0.0001
0.5000 0.5000 0.4999

Entry 20:
PBE-GGA AgHg2Sb, optimized geometry; energy relative to the elements, uncorrected = 0.12 eV per atom; calculated total energy = -7.1 eV per cell; total magnetic moment = 0.000 μB per formula unit
1.0
-2.0157 -2.5937 6.2596
3.1377 -4.6979 4.2494
-0.4185 6.0813 -3.5799
Sb Hg Ag
1 2 1
direct
0.4539 0.4539 0.0000
0.0548 0.0548 0.0000
0.7321 0.2321 0.5000
0.2593 0.7593 0.5000

Entry 21:
PBE-GGA AgHgSb2, optimized geometry; energy relative to the elements, uncorrected = 0.21 eV per atom; calculated total energy = -10.6 eV per cell; total magnetic moment = 0.000 μB per formula unit
1.0
-1.9545 4.4753 2.7126
1.2087 -3.8009 3.9114
2.9848 1.2765 0.9370
Sb Hg Ag
2 1 1
direct
0.0000 0.0000 0.0000
0.5000 0.5000 0.0000
0.0000 0.5000 0.5000
0.5000 0.0000 0.5000

Entry 22:
PBE-GGA AgHgSb2, optimized geometry; energy relative to the elements, uncorrected = 0.16 eV per atom; calculated total energy = -10.8 eV per cell; total magnetic moment = 0.000 μB per formula unit
1.0
6.5985 0.6576 0.2629
3.0181 5.9046 -0.2629
-4.0293 -4.4226 2.8717
Sb Hg Ag
2 1 1
direct
0.9651 0.9651 0.0000
0.5349 0.5349 0.0000
0.2500 0.7500 0.5000
0.7500 0.2500 0.5000

Entry 23:
PBE-GGA AgHgSb2, optimized geometry; energy relative to the elements, uncorrected = 0.22 eV per atom; calculated total energy = -10.5 eV per cell; total magnetic moment = 0.000 μB per formula unit
1.0
-3.7029 -1.1847 2.7772
2.7112 0.0852 3.6512
-0.9549 4.4056 0.6062
Sb Hg Ag
2 1 1
direct
0.0000 0.0000 0.0000
0.0000 0.5000 0.5000
0.5000 0.0000 0.5000
0.5000 0.5000 0.0000

Entry 24:
PBE-GGA Ag5Hg12Sb3, optimized geometry; energy relative to the elements, uncorrected = 0.25 eV per atom; calculated total energy = -101.1 eV per cell; total magnetic moment = 0.000 μB per formula unit
1.0
14.6449 0.0000 0.0000
-4.8816 13.8073 0.0000
-4.8816 -6.9037 11.9575
Sb Ag Hg
12 20 48
direct
0.7500 0.3750 0.1250
0.8750 0.7500 0.1250
0.3750 0.7500 0.6250
0.2500 0.1250 0.3750
0.8750 0.1250 0.2500
0.3750 0.6250 0.2500
0.6250 0.3750 0.7500
0.1250 0.8750 0.7500
0.7500 0.8750 0.6250
0.6250 0.2500 0.3750
0.1250 0.2500 0.8750
0.2500 0.6250 0.8750
0.1250 0.3750 0.2500
0.0000 0.5000 0.0000
0.0000 0.0000 0.0000
0.3750 0.2500 0.1250
0.5000 0.0000 0.5000
0.5000 0.5000 0.0000
0.1250 0.7500 0.3750
0.7500 0.1250 0.8750
0.7500 0.6250 0.3750
0.3750 0.1250 0.7500
0.6250 0.8750 0.2500
0.5000 0.5000 0.5000
0.5000 0.0000 0.0000
0.0000 0.0000 0.5000
0.2500 0.3750 0.6250
0.2500 0.8750 0.1250
0.0000 0.5000 0.5000
0.8750 0.2500 0.6250
0.6250 0.7500 0.8750
0.8750 0.6250 0.7500
0.7256 0.1293 0.0555
0.3300 0.5555 0.4262
0.9445 0.3707 0.2744
0.5555 0.2256 0.1293
0.5963 0.7256 0.6700
0.9445 0.5738 0.1700
0.3300 0.7744 0.4037
0.0738 0.9037 0.1293
0.5738 0.9445 0.6700
0.7256 0.5963 0.1700
0.7744 0.4445 0.3707
0.8300 0.9262 0.0555
0.1293 0.7256 0.5555
0.3707 0.4262 0.0963
0.0963 0.9262 0.3707
0.4037 0.1293 0.5738
0.0963 0.1700 0.2256
0.4445 0.6700 0.0738
0.8300 0.9037 0.2744
0.1293 0.4037 0.0738
0.3707 0.9445 0.7744
0.5738 0.6293 0.4037
0.9262 0.8300 0.5555
0.7744 0.3300 0.9037
0.4262 0.3707 0.5963
0.0738 0.1700 0.4445
0.2256 0.6700 0.0963
0.1700 0.0963 0.7256
0.6293 0.0555 0.2256
0.8707 0.5963 0.9262
0.5555 0.3300 0.9262
0.5963 0.8707 0.4262
0.9037 0.8300 0.7744
0.9037 0.0738 0.6293
0.8707 0.2744 0.4445
0.1700 0.0738 0.9445
0.6293 0.5738 0.9037
0.4262 0.0555 0.3300
0.2744 0.4037 0.8300
0.2256 0.5555 0.6293
0.9262 0.0963 0.8707
0.6700 0.2256 0.5963
0.4445 0.7744 0.8707
0.0555 0.4262 0.8300
0.4037 0.2744 0.3300
0.0555 0.6293 0.7256
0.6700 0.4445 0.5738
0.2744 0.8707 0.9445

Entry 25:
PBE-GGA AgHgSb2, optimized geometry; energy relative to the elements, uncorrected = 0.10 eV per atom; calculated total energy = -11.0 eV per cell; total magnetic moment = 0.000 μB per formula unit
1.0
4.5299 -0.0028 -0.0144
3.4767 2.9039 -0.0144
0.1896 0.0687 7.9632
Sb Hg Ag
2 1 1
direct
0.0416 0.0416 0.9696
0.4584 0.4584 0.5304
0.2500 0.2500 0.2500
0.7500 0.7500 0.7500

Entry 26:
PBE-GGA Ag2HgSb, optimized geometry; energy relative to the elements, uncorrected = 0.09 eV per atom; calculated total energy = -9.8 eV per cell; total magnetic moment = 0.000 μB per formula unit
1.0
7.0372 0.8115 0.1285
4.2850 5.6409 -0.1285
-5.1928 -4.0480 2.6165
Sb Hg Ag
1 1 2
direct
0.2138 0.7138 0.5000
0.4586 0.4586 0.0000
0.0187 0.0187 0.0000
0.8089 0.3089 0.5000